Record 1
Below is an optimized crystal structure of NdZnCuPd, with properties calculated at the PBE level.

Computed properties:
For the total energy, the calculation gives -4.31 eV per atom.

Unit cell a=7.598 b=4.397 c=5.363 alpha=90.00 beta=118.33 gamma=90.00
Space group Cm (No. 8)
Inequivalent atoms, fractional coordinates:
Nd1 0.000 0.000 0.000 x2
Zn1 0.003 0.500 0.509 x2
Cu1 0.206 0.000 0.618 x2
Pd1 0.291 0.500 0.372 x2

***

Record 2
Below is an optimized crystal structure of NdZnCuPd, with properties calculated at the PBE level.

Computed properties:
For the total energy, the calculation gives -4.19 eV per atom.

Unit cell a=6.740 b=6.740 c=6.740 alpha=90.00 beta=90.00 gamma=90.00
Space group F-43m (No. 216)
Inequivalent atoms, fractional coordinates:
Nd1 0.000 0.000 0.000 x4
Zn1 0.000 0.000 0.500 x4
Cu1 0.250 0.250 0.250 x4
Pd1 0.250 0.250 0.750 x4

***

Record 3
Below is an optimized crystal structure of Nd3Zn2CuPd9, with properties calculated at the PBE level.

Computed properties:
For the total energy, the calculation gives -4.85 eV per atom.

Unit cell a=7.4687 b=7.4687 c=6.4043 alpha=90.00 beta=90.00 gamma=120.00
Space group P-3m1 (No. 164)
Inequivalent atoms, fractional coordinates:
Nd1 0.0000 0.0000 0.0000 x1
Nd2 0.3333 0.6667 0.6649 x2
Zn1 0.3333 0.6667 0.1679 x2
Cu1 0.0000 0.0000 0.5000 x1
Pd1 0.0000 0.5000 0.0000 x3
Pd2 0.1671 0.3342 0.3360 x6

***

Record 4
Below is an optimized crystal structure of NdZn4CuPd2, with properties calculated at the PBE level.

Computed properties:
For the total energy, the calculation gives -3.42 eV per atom.

Unit cell a=4.3085 b=4.3085 c=25.8549 alpha=90.00 beta=90.00 gamma=120.00
Space group R-3m (No. 166, hexagonal axes)
Inequivalent atoms, fractional coordinates:
Nd1 0.0000 0.0000 0.0000 x3
Zn1 0.0000 0.0000 0.1317 x6
Zn2 0.0000 0.0000 0.4029 x6
Cu1 0.0000 0.0000 0.5000 x3
Pd1 0.0000 0.0000 0.2340 x6

***

Record 5
Below is an optimized crystal structure of Nd2Zn4Cu3Pd, with properties calculated at the PBE level.

Computed properties:
For the total energy, the calculation gives -3.52 eV per atom.

Unit cell a=4.238 b=4.238 c=10.239 alpha=90.00 beta=90.00 gamma=90.00
Space group P-4m2 (No. 115)
Inequivalent atoms, fractional coordinates:
Nd1 0.000 0.500 0.245 x2
Zn1 0.000 0.000 0.500 x1
Zn2 0.000 0.500 0.867 x2
Zn3 0.500 0.500 0.500 x1
Cu1 0.000 0.000 0.000 x1
Cu2 0.000 0.500 0.631 x2
Pd1 0.500 0.500 0.000 x1

***

Record 6
Below is an optimized crystal structure of Nd2Zn2Cu5Pd, with properties calculated at the PBE level.

Computed properties:
For the total energy, the calculation gives -3.87 eV per atom.

Unit cell a=9.900 b=9.900 c=3.537 alpha=90.00 beta=90.00 gamma=90.00
Space group P4/mbm (No. 127)
Inequivalent atoms, fractional coordinates:
Nd1 0.180 0.320 0.000 x4
Zn1 0.119 0.619 0.000 x4
Cu1 0.000 0.500 0.500 x2
Cu2 0.049 0.807 0.500 x8
Pd1 0.000 0.000 0.000 x2

***

Record 7
Below is an optimized crystal structure of Pm3NdCu2, with properties calculated at the PBE level.

Computed properties:
For the total energy, the calculation gives -4.63 eV per atom.

Unit cell a=3.592 b=3.592 c=12.473 alpha=90.00 beta=90.00 gamma=90.00
Space group P4/mmm (No. 123)
Inequivalent atoms, fractional coordinates:
Pm1 0.000 0.000 0.000 x1
Pm2 0.000 0.000 0.281 x2
Nd1 0.500 0.500 0.500 x1
Cu1 0.500 0.500 0.143 x2

***

Record 8
Below is an optimized crystal structure of Pm2Nd2Cu3, with properties calculated at the PBE level.

Computed properties:
For the total energy, the calculation gives -4.50 eV per atom.

Unit cell a=8.927 b=8.927 c=8.927 alpha=90.00 beta=90.00 gamma=90.00
Space group I2_13 (No. 199)
Inequivalent atoms, fractional coordinates:
Pm1 0.184 0.316 0.684 x8
Nd1 0.067 0.067 0.067 x8
Cu1 0.000 0.250 0.379 x12

***

Record 9
Below is an optimized crystal structure of PmNd3Cu2, with properties calculated at the PBE level.

Computed properties:
For the total energy, the calculation gives -4.63 eV per atom.

Unit cell a=3.815 b=9.711 c=8.949 alpha=90.00 beta=90.00 gamma=90.00
Space group Pmc2_1 (No. 26)
Inequivalent atoms, fractional coordinates:
Pm1 0.000 0.076 0.000 x2
Nd1 0.000 0.278 0.657 x2
Nd2 0.500 0.221 0.326 x2
Nd3 0.500 0.422 0.982 x2
Cu1 0.000 0.433 0.262 x2
Cu2 0.500 0.066 0.721 x2

***

Record 10
Below is an optimized crystal structure of Pm2NdCu, with properties calculated at the PBE level.

Computed properties:
For the total energy, the calculation gives -4.53 eV per atom.

Unit cell a=3.7247 b=3.7247 c=30.1919 alpha=90.00 beta=90.00 gamma=120.00
Space group R3m (No. 160, hexagonal axes)
Inequivalent atoms, fractional coordinates:
Pm1 0.0000 0.0000 0.0000 x3
Pm2 0.0000 0.0000 0.1997 x3
Nd1 0.0000 0.0000 0.4331 x3
Cu1 0.0000 0.0000 0.5997 x3

***

Record 11
Below is an optimized crystal structure of Pm3NdCu2, with properties calculated at the PBE level.

Computed properties:
For the total energy, the calculation gives -4.47 eV per atom.

Unit cell a=6.975 b=13.787 c=7.367 alpha=90.00 beta=90.00 gamma=90.00
Space group Ibam (No. 72)
Inequivalent atoms, fractional coordinates:
Pm1 0.000 0.000 0.250 x4
Pm2 0.000 0.265 0.250 x8
Nd1 0.000 0.500 0.000 x4
Cu1 0.204 0.141 0.000 x8

***

Record 12
Below is an optimized crystal structure of Pm3NdCu8, with properties calculated at the PBE level.

Computed properties:
For the total energy, the calculation gives -4.42 eV per atom.

Unit cell a=5.3649 b=5.3649 c=26.1420 alpha=90.00 beta=90.00 gamma=120.00
Space group R3m (No. 160, hexagonal axes)
Inequivalent atoms, fractional coordinates:
Pm1 0.0000 0.0000 0.0000 x3
Pm2 0.0000 0.0000 0.1261 x3
Pm3 0.0000 0.0000 0.5200 x3
Nd1 0.0000 0.0000 0.6460 x3
Cu1 0.0000 0.0000 0.3230 x3
Cu2 0.0000 0.0000 0.8230 x3
Cu3 0.0136 0.5068 0.0744 x9
Cu4 0.1731 0.3461 0.9050 x9

***

Record 13
Below is an optimized crystal structure of Pm3NdCu4, with properties calculated at the PBE level.

Computed properties:
For the total energy, the calculation gives -4.58 eV per atom.

Unit cell a=10.130 b=7.115 c=5.060 alpha=90.00 beta=90.00 gamma=90.00
Space group Pmma (No. 51)
Inequivalent atoms, fractional coordinates:
Pm1 0.000 0.000 0.000 x2
Pm2 0.250 0.000 0.499 x2
Pm3 0.250 0.500 0.499 x2
Nd1 0.000 0.500 0.000 x2
Cu1 0.000 0.247 0.500 x4
Cu2 0.250 0.247 0.997 x4

***

Record 14
Below is an optimized crystal structure of PmNd2Cu, with properties calculated at the PBE level.

Computed properties:
For the total energy, the calculation gives -4.53 eV per atom.

Unit cell a=3.7342 b=3.7342 c=30.2547 alpha=90.00 beta=90.00 gamma=120.00
Space group R3m (No. 160, hexagonal axes)
Inequivalent atoms, fractional coordinates:
Pm1 0.0000 0.0000 0.0000 x3
Nd1 0.0000 0.0000 0.5679 x3
Nd2 0.0000 0.0000 0.7661 x3
Cu1 0.0000 0.0000 0.1671 x3

***

Record 15
Below is an optimized crystal structure of Pm2NdCu, with properties calculated at the PBE level.

Computed properties:
For the total energy, the calculation gives -4.65 eV per atom.

Unit cell a=3.616 b=3.616 c=8.807 alpha=90.00 beta=90.00 gamma=90.00
Space group P4/mmm (No. 123)
Inequivalent atoms, fractional coordinates:
Pm1 0.000 0.000 0.195 x2
Nd1 0.500 0.500 0.500 x1
Cu1 0.500 0.500 0.000 x1

***

Record 16
Below is an optimized crystal structure of Pm2Nd2Cu, with properties calculated at the PBE level.

Computed properties:
For the total energy, the calculation gives -4.67 eV per atom.

Unit cell a=3.630 b=3.630 c=22.837 alpha=90.00 beta=90.00 gamma=90.00
Space group I4/mmm (No. 139)
Inequivalent atoms, fractional coordinates:
Pm1 0.000 0.000 0.075 x4
Nd1 0.000 0.000 0.307 x4
Cu1 0.000 0.000 0.500 x2

***

Record 17
Below is an optimized crystal structure of Pm2NdCu, with properties calculated at the PBE level.

Computed properties:
For the total energy, the calculation gives -4.65 eV per atom.

Unit cell a=7.011 b=10.131 c=6.594 alpha=90.00 beta=90.00 gamma=90.00
Space group Pnma (No. 62)
Inequivalent atoms, fractional coordinates:
Pm1 0.190 0.058 0.175 x8
Nd1 0.020 0.250 0.639 x4
Cu1 0.103 0.750 0.930 x4

***

Record 18
Below is an optimized crystal structure of PmNd2Cu, with properties calculated at the PBE level.

Computed properties:
For the total energy, the calculation gives -4.46 eV per atom.

Unit cell a=5.548 b=5.548 c=3.681 alpha=90.00 beta=90.00 gamma=90.00
Space group P4/mmm (No. 123)
Inequivalent atoms, fractional coordinates:
Pm1 0.000 0.000 0.000 x1
Nd1 0.000 0.500 0.500 x2
Cu1 0.500 0.500 0.000 x1

***

Record 19
Below is an optimized crystal structure of PmNd2Cu, with properties calculated at the PBE level.

Computed properties:
For the total energy, the calculation gives -4.65 eV per atom.

Unit cell a=3.636 b=3.636 c=8.801 alpha=90.00 beta=90.00 gamma=90.00
Space group P4/mmm (No. 123)
Inequivalent atoms, fractional coordinates:
Pm1 0.000 0.000 0.000 x1
Nd1 0.500 0.500 0.302 x2
Cu1 0.000 0.000 0.500 x1

***

Record 20
Below is an optimized crystal structure of PmNd2Cu9, with properties calculated at the PBE level.

Computed properties:
For the total energy, the calculation gives -4.40 eV per atom.

Unit cell a=5.2467 b=5.2467 c=25.2838 alpha=90.00 beta=90.00 gamma=120.00
Space group R-3m (No. 166, hexagonal axes)
Inequivalent atoms, fractional coordinates:
Pm1 0.0000 0.0000 0.0000 x3
Nd1 0.0000 0.0000 0.1429 x6
Cu1 0.0000 0.0000 0.3315 x6
Cu2 0.0000 0.0000 0.5000 x3
Cu3 0.0049 0.5024 0.0804 x18

***

Record 21
Below is an optimized crystal structure of PmNdCu4, with properties calculated at the PBE level.

Computed properties:
For the total energy, the calculation gives -4.53 eV per atom.

Unit cell a=4.344 b=7.139 c=7.460 alpha=90.00 beta=90.00 gamma=90.00
Space group Imm2 (No. 44)
Inequivalent atoms, fractional coordinates:
Pm1 0.000 0.000 0.000 x2
Nd1 0.000 0.500 0.931 x2
Cu1 0.000 0.207 0.632 x4
Cu2 0.000 0.294 0.301 x4

***

Record 22
Below is an optimized crystal structure of Pm3Nd3Cu4, with properties calculated at the PBE level.

Computed properties:
For the total energy, the calculation gives -4.60 eV per atom.

Unit cell a=3.810 b=11.539 c=11.555 alpha=90.00 beta=90.00 gamma=90.00
Space group Amm2 (No. 38)
Inequivalent atoms, fractional coordinates:
Pm1 0.000 0.000 0.000 x2
Pm2 0.000 0.166 0.684 x4
Nd1 0.000 0.000 0.331 x2
Nd2 0.500 0.239 0.432 x4
Cu1 0.500 0.000 0.559 x2
Cu2 0.500 0.000 0.793 x2
Cu3 0.500 0.119 0.168 x4

***

Record 23
Below is an optimized crystal structure of PmNd2Cu, with properties calculated at the PBE level.

Computed properties:
For the total energy, the calculation gives -4.64 eV per atom.

Unit cell a=5.018 b=7.763 c=6.464 alpha=90.00 beta=112.76 gamma=90.00
Space group P2_1/m (No. 11)
Inequivalent atoms, fractional coordinates:
Pm1 0.047 0.250 0.094 x2
Nd1 0.354 0.030 0.709 x4
Cu1 0.201 0.750 0.401 x2

***

no.,formation energy from the elements (eV per atom)
1,-0.4730
2,-0.3537
3,-0.3342
4,-0.3777
5,-0.3119
6,-0.0930
7,-0.0978
8,-0.0246
9,-0.0873
10,0.0578
11,0.0675
12,-0.1031
13,-0.1565
14,0.0653
15,-0.0634
16,-0.0440
17,-0.0630
18,0.1351
19,-0.0502
20,-0.1418
21,-0.2174
22,-0.1018
23,-0.0396